(1)
A plane-wave DFT calculation with PBE was carried out for a relaxed structure of KScW.

## Properties
Energy of formation = 90.3 kJ per mole of atoms
Symmetry = P3m1
Fermi-level density of states = 2.27 states/eV/cell

Geometry as extended XYZ:
```
3
Lattice="3.0667 0.0000 0.0000 -1.5333 2.6558 0.0000 0.0000 0.0000 8.8489" Properties=species:S:1:pos:R:3 pbc="T T T"
K 0.0000 0.0000 0.0000
Sc 1.5333 0.8853 3.5482
W 0.0000 1.7706 5.7986
```


(2)
A plane-wave DFT calculation with PBE was carried out for a relaxed structure of Y7C.

## Properties
Energy of formation = 60.7 kJ per mole of atoms
Symmetry = Fm-3m
Fermi-level density of states = 5.06 states/eV/cell

Geometry as extended XYZ:
```
8
Lattice="0.0000 4.8309 4.8309 4.8309 0.0000 4.8309 4.8309 4.8309 0.0000" Properties=species:S:1:pos:R:3 pbc="T T T"
Y 0.0000 0.0000 0.0000
Y 2.4155 2.4155 0.0000
Y 2.4155 0.0000 2.4155
Y 4.8309 2.4155 2.4155
Y 0.0000 2.4155 2.4155
Y 2.4155 4.8309 2.4155
Y 2.4155 2.4155 4.8309
C 4.8309 4.8309 4.8309
```


(3)
A plane-wave DFT calculation with PBE was carried out for a relaxed structure of CeTmLuAl.

## Properties
Energy of formation = -5.5 kJ per mole of atoms
Symmetry = F-43m
Fermi-level density of states = 7.71 states/eV/cell

Geometry as extended XYZ:
```
4
Lattice="0.0000 3.7258 3.7258 3.7258 0.0000 3.7258 3.7258 3.7258 0.0000" Properties=species:S:1:pos:R:3 pbc="T T T"
Ce 0.0000 0.0000 0.0000
Tm 3.7258 3.7258 3.7258
Lu 1.8629 1.8629 1.8629
Al 5.5886 5.5886 5.5886
```


(4)
A plane-wave DFT calculation with PBE was carried out for a relaxed structure of Cs2AuNCl6.

## Properties
Symmetry = I4/mmm
Fermi-level density of states = 2.77 states/eV/cell
Energy = -29.397 eV/cell

Geometry as extended XYZ:
```
10
Lattice="-3.5160 3.5160 5.6858 3.5160 -3.5160 5.6858 3.5160 3.5160 -5.6858" Properties=species:S:1:pos:R:3 pbc="T T T"
Cs 3.5160 0.0000 2.8429
Cs 0.0000 3.5160 2.8429
Au 0.0000 0.0000 0.0000
N 0.0000 0.0000 5.6858
Cl 0.0000 0.0000 2.3378
Cl 1.9460 1.9460 0.0000
Cl 1.5700 -1.5700 5.6858
Cl -1.5700 1.5700 5.6858
Cl 1.5700 1.5700 5.6858
Cl 0.0000 0.0000 9.0339
```